# Na4Cu5Te6

An optimized crystal structure of Na4Cu5Te6 (PBE, Alexandria via LeMat-Bulk).

a = 4.3285 Å, b = 20.3325 Å, c = 16.6950 Å
α = 90.00°, β = 90.00°, γ = 90.00°
Last column: nearest neighbours and their distance in Å.
Space group Cmc2_1 (No. 36)
Asymmetric unit:
Na 0.0000 0.0010 0.0000 (multiplicity 4)  7 Te 3.17-3.49, 1 Cu 3.48
Na 0.0000 0.0071 0.2545 (multiplicity 4)  7 Te 3.23-3.43, 5 Cu 3.27-3.39
Na 0.0000 0.1720 0.4554 (multiplicity 4)  6 Te 3.18-3.30
Na 0.0000 0.1901 0.8193 (multiplicity 4)  2 Cu 3.11, 6 Te 3.15-3.28
Cu 0.0000 0.1355 0.1290 (multiplicity 4)  4 Te 2.68-2.72, 4 Cu 2.88-2.89
Cu 0.0000 0.2882 0.1408 (multiplicity 4)  1 Cu 2.50, 4 Te 2.62-2.76
Cu 0.0000 0.3502 0.5162 (multiplicity 4)  4 Te 2.61-2.77, 2 Cu 2.88
Cu 0.0000 0.3647 0.7434 (multiplicity 4)  4 Te 2.61-2.65, 2 Cu 2.89
Cu 0.0000 0.3891 0.2261 (multiplicity 4)  1 Cu 2.50, 3 Te 2.57-2.64
Te 0.0000 0.1275 0.6383 (multiplicity 4)  4 Cu 2.64-2.76
Te 0.0000 0.2065 0.2642 (multiplicity 4)  4 Cu 2.63-2.68
Te 0.0000 0.2212 0.0070 (multiplicity 4)  4 Cu 2.61-2.68
Te 0.0000 0.4214 0.3750 (multiplicity 4)  2 Cu 2.57-2.77
Te 0.0000 0.4329 0.8785 (multiplicity 4)  1 Cu 2.65, 1 Te 2.96
Te 0.0000 0.4451 0.6219 (multiplicity 4)  4 Cu 2.61-2.72

Properties
**M_tot**: 0.0 μB/cell
**V**: 1469.3 Å³/cell
**E_form (uncorrected)**: -8.8 kcal/mol of atoms